NbCo4F2 | PBE with a Hubbard U | optimized geometry Values from VASP.

Properties
Space group ... I4/mmm, No. 139
Total magnetization ... 7.30 μB/cell
VASP energy ... -4.1456 eV/atom

```
&SYSTEM
  ibrav = 0, nat = 7, ntyp = 3
/
ATOMIC_SPECIES
Nb 92.91 Nb.upf
Co 58.93 Co.upf
F 19.00 F.upf
CELL_PARAMETERS angstrom
-2.428 2.428 5.568
2.428 -2.428 5.568
2.428 2.428 -5.568
ATOMIC_POSITIONS crystal
Nb 0.000 0.000 0.000
Co 0.000 0.500 0.500
Co 0.218 0.218 0.000
Co 0.500 0.000 0.500
Co 0.782 0.782 0.000
F 0.390 0.390 0.000
F 0.610 0.610 0.000
```